(1)
A plane-wave DFT calculation with PBE was carried out for an optimized crystal structure of PuZr3As4.

Unit cell a=6.8116 b=6.8113 c=7.8482 alpha=90.00 beta=90.00 gamma=109.49
Closest atoms and distances in Å follow each position.
Fractional coordinates of all 16 atoms:
1 Pu 0.7500 0.0000 0.8730  6 As 2.81-2.83
2 Pu 0.2500 0.0000 0.1270  6 As 2.81-2.83
3 Zr 0.2500 0.0000 0.6237  6 As 2.77-2.79
4 Zr 0.7500 0.5000 0.1296  6 As 2.74-2.80
5 Zr 0.2500 0.5000 0.8704  6 As 2.74-2.80
6 Zr 0.2500 0.5000 0.3777  6 As 2.72-2.77
7 Zr 0.7500 0.0000 0.3763  6 As 2.77-2.79
8 Zr 0.7500 0.5000 0.6223  6 As 2.72-2.77
9 As 0.0009 0.2574 0.1281  4 Zr 2.74-2.80, 2 Pu 2.82-2.83
10 As 0.4991 0.7426 0.1281  4 Zr 2.74-2.80, 2 Pu 2.82-2.83
11 As 0.5009 0.2574 0.8719  4 Zr 2.74-2.80, 2 Pu 2.82-2.83
12 As 0.9991 0.7426 0.8719  4 Zr 2.74-2.80, 2 Pu 2.82-2.83
13 As 0.5024 0.2538 0.3791  5 Zr 2.72-2.79, 1 Pu 2.81
14 As 0.4976 0.7462 0.6209  5 Zr 2.72-2.79, 1 Pu 2.81
15 As 0.0024 0.2538 0.6209  5 Zr 2.72-2.79, 1 Pu 2.81
16 As 0.9976 0.7462 0.3791  5 Zr 2.72-2.79, 1 Pu 2.81

Properties
Energy of formation = -1118.9 meV per atom
Magnetization = 5.24 μB per formula unit



(2)
A plane-wave DFT calculation with PBE was carried out for an optimized crystal structure of Nd4Tl3Ga.

Unit cell a=3.8144 b=3.8144 c=15.7759 alpha=90.00 beta=90.00 gamma=90.00
Closest atoms and distances in Å follow each position.
Fractional coordinates of all 8 atoms:
1 Nd 0.0000 0.0000 0.6292  8 Tl 3.37-3.38
2 Nd 0.0000 0.0000 0.1129  4 Ga 3.23, 4 Tl 3.39, 1 Nd 3.56
3 Nd 0.0000 0.0000 0.3708  8 Tl 3.37-3.38
4 Nd 0.0000 0.0000 0.8871  4 Ga 3.23, 4 Tl 3.39, 1 Nd 3.56
5 Ga 0.5000 0.5000 0.0000  8 Nd 3.23
6 Tl 0.5000 0.5000 0.2427  8 Nd 3.37-3.39
7 Tl 0.5000 0.5000 0.7573  8 Nd 3.37-3.39
8 Tl 0.5000 0.5000 0.5000  8 Nd 3.38

Properties
Energy of formation = -430.4 meV per atom
Magnetization = 0.00 μB per formula unit



(3)
A plane-wave DFT calculation with PBE was carried out for an optimized crystal structure of Dy2Ho12Er.

Unit cell a=6.5604 b=6.5604 c=24.6389 alpha=83.31 beta=96.69 gamma=65.05
Closest atoms and distances in Å follow each position.
Fractional coordinates of all 30 atoms:
1 Dy 0.5473 0.9527 0.7287  2 Dy 3.53, 10 Ho 3.57-3.69
2 Dy 0.9527 0.5473 0.2713  2 Dy 3.53, 10 Ho 3.57-3.69
3 Dy 0.4527 0.0473 0.2713  2 Dy 3.53, 10 Ho 3.57-3.69
4 Dy 0.0473 0.4527 0.7287  2 Dy 3.53, 10 Ho 3.57-3.69
5 Ho 0.3991 0.1009 0.8633  4 Ho 3.17-3.53, 1 Er 3.29
6 Ho 0.6824 0.8176 0.5743  8 Ho 3.31-3.60
7 Ho 0.3176 0.1824 0.4257  8 Ho 3.31-3.60
8 Ho 0.8176 0.6824 0.4257  8 Ho 3.31-3.60
9 Ho 0.4460 0.5540 0.9263  9 Ho 3.53-3.62, 4 Er 3.72-3.73
10 Ho 0.4004 0.5996 0.2010  3 Ho 3.10-3.17
11 Ho 0.0996 0.9004 0.7990  3 Ho 3.10-3.17
12 Ho 0.8322 0.1678 0.4448  10 Ho 3.18-3.53
13 Ho 0.5996 0.4004 0.7990  3 Ho 3.10-3.17
14 Ho 0.0039 0.9960 0.6700  3 Ho 3.10-3.28
15 Ho 0.9004 0.0996 0.2010  3 Ho 3.10-3.17
16 Ho 0.1009 0.3991 0.1367  4 Ho 3.17-3.53, 1 Er 3.29
17 Ho 0.8991 0.6009 0.8633  4 Ho 3.17-3.53, 1 Er 3.29
18 Ho 0.9960 0.0039 0.3300  3 Ho 3.10-3.28
19 Ho 0.5540 0.4460 0.0737  9 Ho 3.53-3.62, 4 Er 3.72-3.73
20 Ho 0.6678 0.3322 0.5552  10 Ho 3.18-3.53
21 Ho 0.9460 0.0540 0.9263  9 Ho 3.53-3.62, 4 Er 3.72-3.73
22 Ho 0.4961 0.5040 0.3300  3 Ho 3.10-3.28
23 Ho 0.6009 0.8991 0.1367  4 Ho 3.17-3.53, 1 Er 3.29
24 Ho 0.5040 0.4961 0.6700  3 Ho 3.10-3.28
25 Ho 0.1824 0.3176 0.5743  8 Ho 3.31-3.60
26 Ho 0.0540 0.9460 0.0737  9 Ho 3.53-3.62, 4 Er 3.72-3.73
27 Ho 0.1678 0.8322 0.5552  10 Ho 3.18-3.53
28 Ho 0.3322 0.6678 0.4448  10 Ho 3.18-3.53
29 Er 0.0000 0.5000 0.0000  2 Ho 3.29, 2 Er 3.53
30 Er 0.5000 0.0000 0.0000  2 Ho 3.29, 2 Er 3.53

Properties
Energy of formation = 120.3 meV per atom
Magnetization = 0.00 μB per formula unit



(4)
A plane-wave DFT calculation with PBE was carried out for an optimized crystal structure of AcHoSn2Pd5.

Unit cell a=4.5226 b=4.5226 c=9.4292 alpha=90.00 beta=90.00 gamma=90.00
Closest atoms and distances in Å follow each position.
Fractional coordinates of all 9 atoms:
1 Sn 0.5000 0.5000 0.1453  4 Pd 2.60, 1 Sn 2.74
2 Sn 0.5000 0.5000 0.8547  4 Pd 2.60, 1 Sn 2.74
3 Pd 0.5000 0.5000 0.5000  8 Pd 3.05, 4 Ac 3.20, 2 Sn 3.34
4 Pd 0.0000 0.5000 0.2823  2 Sn 2.60
5 Pd 0.5000 0.0000 0.7177  2 Sn 2.60
6 Pd 0.5000 0.0000 0.2823  2 Sn 2.60
7 Pd 0.0000 0.5000 0.7177  2 Sn 2.60
8 Ho 0.0000 0.0000 0.0000  8 Sn 3.48, 8 Pd 3.49
9 Ac 0.0000 0.0000 0.5000  12 Pd 3.05-3.20

Properties
Energy of formation = -657.6 meV per atom
Magnetization = 0.00 μB per formula unit



no.,V (Å³ per cell)
1,343.3
2,229.5
3,938.6
4,192.9